(1)
The following is a PBE-GGA calculation of crystalline Ce3AgIr8 at its relaxed geometry, from Alexandria.

Computed properties:
- Calculated formation energy: -0.556 eV/atom
- Calculated total energy: -8.185 eV/atom
- Theoretical density: 15.7 g/cm3

Cell: 9.290 9.290 9.290 Å, 33.53 33.53 33.53°
Sites, in units of the cell vectors:
Ce1 0.000 0.000 0.000
Ce2 0.128 0.128 0.128
Ce3 0.616 0.616 0.616
Ag1 0.494 0.494 0.494
Ir1 0.060 0.060 0.563
Ir2 0.060 0.561 0.561
Ir3 0.060 0.563 0.060
Ir4 0.311 0.311 0.311
Ir5 0.561 0.060 0.561
Ir6 0.561 0.561 0.060
Ir7 0.563 0.060 0.060
Ir8 0.811 0.811 0.811



(2)
The following is a PBE-GGA calculation of crystalline Pu4Ga16Fe3 at its relaxed geometry, from Alexandria.

Computed properties:
- Calculated formation energy: -0.341 eV/atom
- Calculated total energy: -6.043 eV/atom
- Theoretical density: 9.2 g/cm3

Cell: 6.091 6.091 11.049 Å, 90.00 90.00 90.00°
Sites, in units of the cell vectors:
Pu1 0.000 0.500 0.193
Pu2 0.000 0.500 0.807
Pu3 0.500 0.000 0.193
Pu4 0.500 0.000 0.807
Ga1 0.000 0.000 0.201
Ga2 0.000 0.000 0.799
Ga3 0.221 0.221 0.000
Ga4 0.221 0.779 0.000
Ga5 0.250 0.250 0.383
Ga6 0.250 0.250 0.617
Ga7 0.250 0.750 0.383
Ga8 0.250 0.750 0.617
Ga9 0.500 0.500 0.217
Ga10 0.500 0.500 0.783
Ga11 0.750 0.250 0.383
Ga12 0.750 0.250 0.617
Ga13 0.750 0.750 0.383
Ga14 0.750 0.750 0.617
Ga15 0.779 0.221 0.000
Ga16 0.779 0.779 0.000
Fe1 0.000 0.500 0.500
Fe2 0.500 0.000 0.500
Fe3 0.500 0.500 0.000



(3)
The following is a PBE-GGA calculation of crystalline Ho2ErBi at its relaxed geometry, from Alexandria.

Computed properties:
- Calculated formation energy: -0.340 eV/atom
- Calculated total energy: -4.740 eV/atom
- Energy above the lowest structure with this stoichiometry: 53 meV per atom
- Theoretical density: 10.0 g/cm3

Cell: 4.177 4.177 6.733 Å, 90.00 90.00 90.00°
Sites, in units of the cell vectors:
Ho1 0.000 0.000 0.242
Ho2 0.000 0.000 0.758
Er1 0.500 0.500 0.500
Bi1 0.500 0.500 0.000



(4)
The following is a PBE-GGA calculation of crystalline CaPrBi6 at its relaxed geometry, from Alexandria.

Computed properties:
- Calculated formation energy: -0.427 eV/atom
- Calculated total energy: -4.186 eV/atom
- Theoretical density: 9.5 g/cm3

Cell: 4.894 4.894 10.487 Å, 90.00 90.00 90.00°
Sites, in units of the cell vectors:
Ca1 0.000 0.000 0.000
Pr1 0.000 0.000 0.500
Bi1 0.000 0.500 0.249
Bi2 0.000 0.500 0.751
Bi3 0.500 0.000 0.249
Bi4 0.500 0.000 0.751
Bi5 0.500 0.500 0.000
Bi6 0.500 0.500 0.500



(5)
The following is a PBE-GGA calculation of crystalline KZn2Te at its relaxed geometry, from Alexandria.

Computed properties:
- Calculated total energy: -1.925 eV/atom
- Theoretical density: 4.2 g/cm3

Cell: 7.569 7.569 7.569 Å, 33.30 33.30 33.30°
Sites, in units of the cell vectors:
K1 0.000 0.000 0.000
Zn1 0.441 0.441 0.441
Zn2 0.817 0.817 0.817
Te1 0.215 0.215 0.215



(6)
The following is a PBE-GGA calculation of crystalline LiTcBi at its relaxed geometry, from Alexandria.

Computed properties:
- Calculated formation energy: 0.087 eV/atom
- Calculated total energy: -5.300 eV/atom
- Energy above the lowest structure with this stoichiometry: 45 meV per atom
- Theoretical density: 8.9 g/cm3

Cell: 4.325 4.325 7.256 Å, 90.00 90.00 120.00°
Sites, in units of the cell vectors:
Li1 0.000 0.000 0.000
Li2 0.333 0.667 0.361
Tc1 0.000 0.000 0.478
Tc2 0.667 0.333 0.579
Bi1 0.333 0.667 0.767
Bi2 0.667 0.333 0.198



(7)
The following is a PBE-GGA calculation of crystalline HoScPbS at its relaxed geometry, from Alexandria.

Computed properties:
- Calculated total energy: -5.864 eV/atom
- Theoretical density: 8.0 g/cm3

Cell: 3.679 3.679 8.181 Å, 102.89 102.89 60.38°
Sites, in units of the cell vectors:
Ho1 0.000 0.000 0.000
Sc1 0.797 0.797 0.387
Pb1 0.229 0.229 0.682
S1 0.404 0.404 0.210



(8)
The following is a PBE-GGA calculation of crystalline ScZnIF2 at its relaxed geometry, from Alexandria.

Computed properties:
- Calculated total energy: -3.829 eV/atom
- Theoretical density: 4.4 g/cm3

Cell: 4.098 4.098 6.190 Å, 90.00 90.00 90.00°
Sites, in units of the cell vectors:
Sc1 0.000 0.000 0.000
Zn1 0.000 0.000 0.500
I1 0.500 0.500 0.000
F1 0.000 0.500 0.500
F2 0.500 0.000 0.500



Among the records above, which one has the lowest calculated total energy?
Ce3AgIr8



Which of these has the lowest theoretical density?
KZn2Te



What did the eighth record say?
The following is a PBE-GGA calculation of crystalline ScZnIF2 at its relaxed geometry, from Alexandria.

Computed properties:
- Calculated total energy: -3.829 eV/atom
- Theoretical density: 4.4 g/cm3

Cell: 4.098 4.098 6.190 Å, 90.00 90.00 90.00°
Sites, in units of the cell vectors:
Sc1 0.000 0.000 0.000
Zn1 0.000 0.000 0.500
I1 0.500 0.500 0.000
F1 0.000 0.500 0.500
F2 0.500 0.000 0.500